one | A relaxed BeHgS2 crystal, computed with GGA-PBE.

Lattice parameters (Å, degrees): 7.2806 7.2806 7.2806 28.18 28.18 28.18
Last column: nearest neighbours and their distance in Å.
Positions (direct):
Be  0.0000  0.0000  0.0000  6 S 2.33
Hg  0.5000  0.5000  0.5000  2 S 2.37
S  0.3869  0.3869  0.3869  3 Be 2.33, 1 Hg 2.37
S  0.6131  0.6131  0.6131  3 Be 2.33, 1 Hg 2.37

- M_tot: 0.0 Bohr magnetons per cell

---

two | A relaxed BeHgS2 crystal, computed with GGA-PBE.

Lattice parameters (Å, degrees): 6.5152 6.5152 5.6735 105.94 105.94 109.47
Last column: nearest neighbours and their distance in Å.
Positions (direct):
Be  0.0075  0.9925  0.7500  4 S 2.11-2.14
Be  0.9925  0.0075  0.2500  4 S 2.11-2.14
Hg  0.3832  0.6168  0.7500  2 S 2.37
Hg  0.6168  0.3832  0.2500  2 S 2.37
S  0.0300  0.2636  0.6014  2 Be 2.11-2.14
S  0.2636  0.0300  0.1014  2 Be 2.11-2.14
S  0.7364  0.9700  0.8986  2 Be 2.11-2.14
S  0.9700  0.7364  0.3986  2 Be 2.11-2.14

- M_tot: 0.0 Bohr magnetons per cell

---

The structure shown above that is least stable: one.